No. 1
DFT (PBE) results for an optimized crystal structure of Sr2Mg12Au7.

Unit cell a=4.3660 b=11.0890 c=11.0890 alpha=120.00 beta=90.00 gamma=90.00
Fractional positions:
1 Sr 0.5000 0.0000 0.0000
2 Sr 0.0000 0.6667 0.3333
3 Mg 0.5000 0.2404 0.7881
4 Mg 0.0000 0.2812 0.0502
5 Mg 0.5000 0.9065 0.6222
6 Mg 0.5000 0.2119 0.4523
7 Mg 0.0000 0.4566 0.5115
8 Mg 0.0000 0.0549 0.5434
9 Mg 0.5000 0.3778 0.2844
10 Mg 0.0000 0.9498 0.2310
11 Mg 0.5000 0.7156 0.0935
12 Mg 0.5000 0.5477 0.7596
13 Mg 0.0000 0.7690 0.7188
14 Mg 0.0000 0.4885 0.9451
15 Au 0.0000 0.0506 0.7893
16 Au 0.0000 0.2107 0.2613
17 Au 0.5000 0.9219 0.3741
18 Au 0.5000 0.4521 0.0781
19 Au 0.0000 0.3333 0.6667
20 Au 0.5000 0.6259 0.5479
21 Au 0.0000 0.7387 0.9494

Summary:
density of states at the Fermi level	0.4408	states/eV/atom
magnetic moment	0.00	μB/atom
V	22.14	Å³ per atom
E_form	-0.56	eV per atom

***

No. 2
DFT (PBE) results for an optimized crystal structure of CoCuTe2.

Unit cell a=4.8481 b=4.8481 c=4.8481 alpha=60.00 beta=60.00 gamma=60.00
Fractional positions:
1 Cu 0.2500 0.2500 0.2500
2 Co 0.5000 0.5000 0.5000
3 Te 0.0000 0.0000 0.0000
4 Te 0.7500 0.7500 0.7500

Summary:
density of states at the Fermi level	1.4564	states/eV/atom
magnetic moment	0.36	μB/atom
E_form (uncorrected)	0.825	eV/atom
V	20.14	Å³ per atom

***

No. 3
DFT (PBE) results for an optimized crystal structure of HfZrCu2.

Unit cell a=5.6409 b=5.6409 c=5.6359 alpha=109.34 beta=109.34 gamma=109.76
Fractional positions:
1 Cu 0.7500 0.2500 0.5000
2 Cu 0.2500 0.7500 0.5000
3 Cu 0.7283 0.7283 0.0000
4 Cu 0.2717 0.2717 0.0000
5 Zr 0.2453 0.2453 0.4905
6 Zr 0.7547 0.7547 0.5095
7 Hf 0.2468 0.7532 0.0000
8 Hf 0.7532 0.2468 0.0000

Summary:
density of states at the Fermi level	1.4252	states/eV/atom
magnetic moment	0.00	μB/atom
V	17.25	Å³ per atom
E_form	-0.10	eV per atom

***

No. 4
DFT (PBE) results for an optimized crystal structure of MnFeGeMo.

Unit cell a=4.2120 b=4.2120 c=4.2120 alpha=60.00 beta=60.00 gamma=60.00
Fractional positions:
1 Mo 0.0000 0.0000 0.0000
2 Mn 0.2500 0.2500 0.2500
3 Ge 0.7500 0.7500 0.7500
4 Fe 0.5000 0.5000 0.5000

Summary:
density of states at the Fermi level	0.7652	states/eV/atom
magnetic moment	0.85	μB/atom
V	13.21	Å³ per atom
E_form	0.00	eV per atom

***

- What is the V in the first record?
  22.14 Å³ per atom